No. 1
Here is a relaxed structure of ReAg2Sb2 from Alexandria via LeMat-Bulk. Energies are from PBE.

a b c (Å): 7.0063 7.0063 4.3309
angles (deg): 90.00 90.00 90.00
Last column: nearest neighbours and their distance in Å.
Fractional positions:
1 Re 0.0000 0.0000 0.0000  4 Sb 2.66
2 Re 0.5000 0.5000 0.0000  4 Sb 2.66
3 Ag 0.1565 0.6565 0.5000  6 Sb 2.88-3.06, 1 Ag 3.10
4 Ag 0.6565 0.8435 0.5000  6 Sb 2.88-3.06, 1 Ag 3.10
5 Ag 0.8435 0.3435 0.5000  6 Sb 2.88-3.06, 1 Ag 3.10
6 Ag 0.3435 0.1565 0.5000  6 Sb 2.88-3.06, 1 Ag 3.10
7 Sb 0.3479 0.8479 0.0000  2 Re 2.66, 2 Ag 2.88
8 Sb 0.8479 0.6521 0.0000  2 Re 2.66, 2 Ag 2.88
9 Sb 0.6521 0.1521 0.0000  2 Re 2.66, 2 Ag 2.88
10 Sb 0.1521 0.3479 0.0000  2 Re 2.66, 2 Ag 2.88

- Spin magnetization: 0.000 μB per atom
- Calculated total energy: -4.714 eV/atom



No. 2
Here is a relaxed structure of ReAgSb4 from Alexandria via LeMat-Bulk. Energies are from PBE.

a b c (Å): 6.0970 6.0970 6.0970
angles (deg): 60.00 60.00 60.00
Last column: nearest neighbours and their distance in Å.
Fractional positions:
1 Re 0.0000 0.0000 0.0000  12 Sb 3.58, 4 Ag 3.73
2 Ag 0.7500 0.7500 0.7500  12 Sb 3.57, 4 Re 3.73
3 Sb 0.8738 0.3754 0.3754  6 Sb 3.04-3.06
4 Sb 0.3754 0.3754 0.8738  6 Sb 3.04-3.06
5 Sb 0.3754 0.8738 0.3754  6 Sb 3.04-3.06
6 Sb 0.3754 0.3754 0.3754  6 Sb 3.04-3.06

- Spin magnetization: 0.653 μB per atom
- Calculated total energy: -4.084 eV/atom



What did the first record say?
Here is a relaxed structure of ReAg2Sb2 from Alexandria via LeMat-Bulk. Energies are from PBE.

a b c (Å): 7.0063 7.0063 4.3309
angles (deg): 90.00 90.00 90.00
Last column: nearest neighbours and their distance in Å.
Fractional positions:
1 Re 0.0000 0.0000 0.0000  4 Sb 2.66
2 Re 0.5000 0.5000 0.0000  4 Sb 2.66
3 Ag 0.1565 0.6565 0.5000  6 Sb 2.88-3.06, 1 Ag 3.10
4 Ag 0.6565 0.8435 0.5000  6 Sb 2.88-3.06, 1 Ag 3.10
5 Ag 0.8435 0.3435 0.5000  6 Sb 2.88-3.06, 1 Ag 3.10
6 Ag 0.3435 0.1565 0.5000  6 Sb 2.88-3.06, 1 Ag 3.10
7 Sb 0.3479 0.8479 0.0000  2 Re 2.66, 2 Ag 2.88
8 Sb 0.8479 0.6521 0.0000  2 Re 2.66, 2 Ag 2.88
9 Sb 0.6521 0.1521 0.0000  2 Re 2.66, 2 Ag 2.88
10 Sb 0.1521 0.3479 0.0000  2 Re 2.66, 2 Ag 2.88

- Spin magnetization: 0.000 μB per atom
- Calculated total energy: -4.714 eV/atom